(1)
Compound: LiCrNi
Source: Alexandria via LeMat-Bulk
Functional: PBE
Structure: optimized geometry

Symmetry = C2/m (12)
Formation energy from the elements = 0.19 eV per atom

POSCAR file:
```
LiCrNi
1.0
2.714 0.056 -0.518
-0.170 3.872 -0.472
-2.710 -3.732 7.509
Li Cr Ni
2 2 2
direct
0.734 0.356 0.656
0.266 0.644 0.344
0.229 0.243 0.986
0.771 0.757 0.014
0.732 0.126 0.321
0.268 0.874 0.679
```

(2)
Compound: Li2CrNi
Source: Alexandria via LeMat-Bulk
Functional: PBE
Structure: optimized geometry

Symmetry = I4/mmm (139)
Formation energy from the elements = 0.29 eV per atom

POSCAR file:
```
Li2CrNi
1.0
-4.381 1.594 1.690
-1.026 -0.288 4.843
3.660 1.617 -2.929
Ni Cr Li
1 1 2
direct
0.250 0.750 0.500
0.750 0.250 0.500
0.000 0.000 0.000
0.500 0.500 0.000
```

(3)
Compound: Li2CrNi6
Source: Alexandria via LeMat-Bulk
Functional: PBE
Structure: optimized geometry

Symmetry = C2/c (15)
Formation energy from the elements = 0.12 eV per atom

POSCAR file:
```
Li2CrNi6
1.0
4.531 0.304 -0.499
-0.906 6.604 -1.038
0.383 0.170 6.733
Ni Li Cr
12 4 2
direct
0.002 0.272 0.693
0.768 0.430 0.051
0.732 0.949 0.570
0.998 0.728 0.307
0.221 0.955 0.767
0.721 0.767 0.955
0.498 0.307 0.728
0.502 0.693 0.272
0.279 0.233 0.045
0.268 0.051 0.430
0.232 0.570 0.949
0.779 0.045 0.233
0.388 0.652 0.615
0.612 0.348 0.385
0.112 0.385 0.348
0.888 0.615 0.652
0.750 0.096 0.904
0.250 0.904 0.096
```

(4)
Compound: Li2CrNi
Source: Alexandria via LeMat-Bulk
Functional: PBE
Structure: optimized geometry

Symmetry = P2/m (10)
Formation energy from the elements = 0.26 eV per atom

POSCAR file:
```
Li2CrNi
1.0
4.515 0.000 0.000
0.000 2.472 -0.028
0.000 0.248 4.480
Li Cr Ni
2 1 1
direct
0.000 0.482 0.490
0.000 0.018 0.010
0.500 0.750 0.750
0.500 0.250 0.250
```

(5)
Compound: LiCrNi
Source: Alexandria via LeMat-Bulk
Functional: PBE
Structure: optimized geometry

Symmetry = Fmm2 (42)
Formation energy from the elements = 0.24 eV per atom

POSCAR file:
```
LiCrNi
1.0
-0.779 -5.860 3.308
-0.663 -6.518 0.981
2.143 -0.353 1.068
Cr Ni Li
1 1 1
direct
0.010 0.010 0.990
0.662 0.662 0.338
0.328 0.328 0.672
```

(6)
Compound: LiCrNi2
Source: Alexandria via LeMat-Bulk
Functional: PBE
Structure: optimized geometry

Symmetry = Pmm2 (25)
Formation energy from the elements = 0.10 eV per atom

POSCAR file:
```
LiCrNi2
1.0
-3.201 1.957 1.831
-0.134 -1.785 1.675
2.802 2.189 2.558
Ni Cr Li
2 1 1
direct
0.000 0.125 0.944
0.500 0.125 0.301
0.000 0.625 0.445
0.500 0.625 0.810
```